First-principles (PBE) data for an optimized crystal structure of SrTa2IrOs, as listed in Alexandria via LeMat-Bulk.

## Properties
Mass density, g/cm3: 11.0
Energy of formation from the pure elements, eV/atom: 1.554
D(E_F), states/eV/f.u.: 6.8

a b c (Å): 4.8199 5.3980 4.8199
angles (deg): 90.00 90.00 90.00
Last column: magnetic moment on the atom in μB.
Fractional coordinates of all 5 atoms:
Ir  0.0000  0.0000  0.0000  0.01
Os  0.5000  0.5000  0.5000  0.57
Ta  0.5000  0.0000  0.0000  -0.08
Ta  0.0000  0.0000  0.5000  -0.07
Sr  0.0000  0.5000  0.0000  -0.01

***

First-principles (PBE) data for an optimized crystal structure of CaP2RhS, as listed in Alexandria via LeMat-Bulk.

## Properties
Raw formation energy, eV per atom: 1.33
E above lowest polymorph, meV/atom: 1592
Mass density, g/cm3: 3.0
D(E_F), states/eV/f.u.: 6.8

a b c (Å): 5.1023 5.1023 4.9853
angles (deg): 90.00 90.00 90.00
Last column: magnetic moment on the atom in μB.
Fractional coordinates of all 5 atoms:
Ca  0.0000  0.0000  0.0000  0.02
P  0.5000  0.0000  0.0000  -0.01
P  0.0000  0.5000  0.0000  -0.01
S  0.0000  0.0000  0.5000  0.02
Rh  0.5000  0.5000  0.5000  1.29

***

| no. | energy (eV/atom) |
| --- | --- |
| 1 | -7.5412 |
| 2 | -3.5317 |